Entry 1:
BCI2 SCAN single point on PBEsol structure; V = 21.07 Å³/atom; magnetization = 0.000 μB per formula unit; mass density = 5449 kg/m³; energy relative to the elements, uncorrected = 2.310 eV/atom
1.0
-2.4475 2.4475 7.0359
2.4475 -2.4475 7.0359
2.4475 2.4475 -7.0359
B C I
2 2 4
direct
0.0000 0.0000 0.0000 B
0.7500 0.2500 0.5000 B
0.2500 0.7500 0.5000 C
0.5000 0.5000 0.0000 C
0.1293 0.6250 0.0043 I
0.3750 0.3793 0.5043 I
0.6207 0.1250 0.9957 I
0.8750 0.8707 0.4957 I

Entry 2:
ZrGa5Co SCAN single point on PBEsol structure; V = 15.58 Å³/atom; E_form = -0.47 eV per atom; magnetization = 0.000 μB per formula unit; mass density = 7594 kg/m³
1.0
4.0708 0.0000 0.0000
0.0000 4.0708 0.0000
0.0000 0.0000 6.5816
Zr Ga Co
1 5 1
direct
0.0000 0.0000 0.0000 Zr
0.0000 0.5000 0.3051 Ga
0.0000 0.5000 0.6949 Ga
0.5000 0.0000 0.3051 Ga
0.5000 0.0000 0.6949 Ga
0.5000 0.5000 0.0000 Ga
0.0000 0.0000 0.5000 Co

Entry 3:
Cu2IrSe SCAN single point on PBEsol structure; V = 13.68 Å³/atom; magnetization = 0.000 μB per formula unit; mass density = 12086 kg/m³; energy relative to the elements, uncorrected = 0.372 eV/atom
1.0
2.9959 0.0000 0.0000
0.0000 4.2428 0.0000
0.0000 0.0000 4.3049
Cu Ir Se
2 1 1
direct
0.0000 0.0000 0.0000 Cu
0.5000 0.0000 0.5000 Cu
0.0000 0.5000 0.5000 Ir
0.5000 0.5000 0.0000 Se

Entry 4:
TiZn3Cu SCAN single point on PBEsol structure; V = 16.60 Å³/atom; E_form = 0.36 eV per atom; magnetization = 1.316 μB per formula unit; mass density = 6154 kg/m³
1.0
4.3623 0.0000 0.0000
0.0000 4.3623 0.0000
0.0000 0.0000 4.3623
Ti Zn Cu
1 3 1
direct
0.0000 0.0000 0.0000 Ti
0.0000 0.5000 0.5000 Zn
0.5000 0.0000 0.5000 Zn
0.5000 0.5000 0.0000 Zn
0.5000 0.5000 0.5000 Cu